(1)
VASP calculation (PBE+U) on a geometry-optimized ErMnTe2O8 structure.

Unit cell a=6.0180 b=6.0180 c=6.3414 alpha=90.00 beta=90.00 gamma=120.00
Space group P-3m1 (No. 164)
Unique sites:
Er (0.0000, 0.0000, 0.0000) [1 per cell]
Mn (0.0000, 0.0000, 0.5000) [1 per cell]
Te (0.3333, 0.6667, 0.3194) [2 per cell]
O (0.1537, 0.3073, 0.2468) [6 per cell]
O (0.3333, 0.6667, 0.6047) [2 per cell]

Computed properties:
- size of the total moment (μB per formula unit) = 4.68
- electronic total energy (eV per atom) = -6.258

(2)
VASP calculation (PBE+U) on a geometry-optimized ErUMn2O8 structure.

Unit cell a=6.563 b=6.801 c=6.736 alpha=90.00 beta=90.00 gamma=90.00
Space group Cmmm (No. 65)
Unique sites:
Er (0.000, 0.000, 0.000) [2 per cell]
U (0.000, 0.000, 0.500) [2 per cell]
Mn (0.000, 0.500, 0.241) [4 per cell]
O (0.000, 0.306, 0.500) [4 per cell]
O (0.000, 0.323, 0.000) [4 per cell]
O (0.207, 0.000, 0.263) [8 per cell]

Computed properties:
- size of the total moment (μB per formula unit) = 7.00
- electronic total energy (eV per atom) = -8.231

(3)
VASP calculation (PBE+U) on a geometry-optimized ErUMnO6 structure.

Unit cell a=5.6516 b=5.6516 c=8.7744 alpha=90.00 beta=90.00 gamma=120.00
Space group P-31c (No. 163)
Unique sites:
Er (0.3333, 0.6667, 0.2500) [2 per cell]
U (0.3333, 0.6667, 0.7500) [2 per cell]
Mn (0.0000, 0.0000, 0.0000) [2 per cell]
O (0.0231, 0.3443, 0.6280) [12 per cell]

Computed properties:
- size of the total moment (μB per formula unit) = 4.00
- electronic total energy (eV per atom) = -8.528

(4)
VASP calculation (PBE+U) on a geometry-optimized ErMnV2O8 structure.

Unit cell a=5.7589 b=5.7589 c=5.6885 alpha=90.00 beta=90.00 gamma=120.00
Space group P-3m1 (No. 164)
Unique sites:
Er (0.0000, 0.0000, 0.0000) [1 per cell]
Mn (0.0000, 0.0000, 0.5000) [1 per cell]
V (0.3333, 0.6667, 0.6333) [2 per cell]
O (0.1585, 0.3169, 0.7189) [6 per cell]
O (0.3333, 0.6667, 0.3490) [2 per cell]

Computed properties:
- size of the total moment (μB per formula unit) = 2.00
- electronic total energy (eV per atom) = -7.565